Entry 1:
Compound: EuCdSn2
Source: Alexandria via LeMat-Bulk
Functional: PBE
Structure: relaxed

Structure (POSCAR):
```
EuCdSn2
1.0
4.7825 0.0000 0.0000
0.0000 4.7825 0.0000
0.0000 0.0000 4.6179
Eu Cd Sn
1 1 2
direct
0.0000 0.0000 0.0000 Eu
0.5000 0.5000 0.0000 Cd
0.0000 0.5000 0.5000 Sn
0.5000 0.0000 0.5000 Sn
```

The value obtained for the polymorph energy (0 for the lowest one) is 0 meV per atom.

=====

Entry 2:
Compound: ZrPIO2
Source: Alexandria via LeMat-Bulk
Functional: PBE
Structure: relaxed

Structure (POSCAR):
```
ZrPIO2
1.0
4.0962 0.0000 0.0000
0.0000 4.0962 0.0000
0.0000 0.0000 6.3750
Zr P I O
1 1 1 2
direct
0.0000 0.0000 0.0000 Zr
0.5000 0.5000 0.5000 P
0.0000 0.0000 0.5000 I
0.0000 0.5000 0.0000 O
0.5000 0.0000 0.0000 O
```

The value obtained for the polymorph energy (0 for the lowest one) is 174 meV per atom. The calculation puts the energy relative to the elements, uncorrected at -5.30 eV per formula unit.

=====

Entry 3:
Compound: YZr2TaBe
Source: Alexandria via LeMat-Bulk
Functional: PBE
Structure: relaxed

Structure (POSCAR):
```
YZr2TaBe
1.0
4.7406 0.0000 0.0000
0.0000 4.7406 0.0000
0.0000 0.0000 4.9970
Y Zr Ta Be
1 2 1 1
direct
0.0000 0.0000 0.0000 Y
0.0000 0.5000 0.5000 Zr
0.5000 0.0000 0.5000 Zr
0.5000 0.5000 0.0000 Ta
0.0000 0.0000 0.5000 Be
```

=====

Entry 4:
Compound: AcTh2FeN5
Source: Alexandria via LeMat-Bulk
Functional: PBE
Structure: relaxed

Structure (POSCAR):
```
AcTh2FeN5
1.0
-3.4157 3.4157 5.7298
3.4157 -3.4157 5.7298
3.4157 3.4157 -5.7298
Ac Th Fe N
2 4 2 10
direct
0.2500 0.2500 0.0000 Ac
0.7500 0.7500 0.0000 Ac
0.1779 0.6779 0.8559 Th
0.3221 0.1779 0.5000 Th
0.6779 0.8221 0.5000 Th
0.8221 0.3221 0.1441 Th
0.2500 0.7500 0.5000 Fe
0.7500 0.2500 0.5000 Fe
0.0000 0.0000 0.0000 N
0.0032 0.7768 0.5000 N
0.2232 0.7232 0.2264 N
0.2768 0.5032 0.5000 N
0.4968 0.9968 0.7736 N
0.5000 0.5000 0.0000 N
0.5032 0.0032 0.2264 N
0.7232 0.4968 0.5000 N
0.7768 0.2768 0.7736 N
0.9968 0.2232 0.5000 N
```

The calculation puts the energy relative to the elements, uncorrected at -10.36 eV per formula unit.

=====

Entry 5:
Compound: NaSrLi2Au
Source: Alexandria via LeMat-Bulk
Functional: PBE
Structure: relaxed

Structure (POSCAR):
```
NaSrLi2Au
1.0
5.2332 0.0000 0.0000
0.0000 5.2332 0.0000
0.0000 0.0000 5.9562
Na Sr Li Au
1 1 2 1
direct
0.0000 0.0000 0.0000 Na
0.5000 0.5000 0.0000 Sr
0.0000 0.5000 0.5000 Li
0.5000 0.0000 0.5000 Li
0.5000 0.5000 0.5000 Au
```

The value obtained for the polymorph energy (0 for the lowest one) is 0 meV per atom.

=====

Entry 6:
Compound: Ba2TaGeO6
Source: Alexandria via LeMat-Bulk
Functional: PBE
Structure: relaxed

Structure (POSCAR):
```
Ba2TaGeO6
1.0
-2.9408 2.9408 4.1455
2.9408 -2.9408 4.1455
2.9408 2.9408 -4.1455
Ba Ta Ge O
2 1 1 6
direct
0.2500 0.7500 0.5000 Ba
0.7500 0.2500 0.5000 Ba
0.0000 0.0000 0.0000 Ta
0.5000 0.5000 0.0000 Ge
0.2421 0.2421 0.4843 O
0.2421 0.7579 0.0000 O
0.2430 0.2430 0.0000 O
0.7570 0.7570 0.0000 O
0.7579 0.2421 0.0000 O
0.7579 0.7579 0.5157 O
```

The calculation puts the energy relative to the elements, uncorrected at -24.96 eV per formula unit.

=====

Entry 7:
Compound: Mg5GeCl12
Source: Alexandria via LeMat-Bulk
Functional: PBE
Structure: relaxed

Structure (POSCAR):
```
Mg5GeCl12
1.0
3.2207 -5.5814 0.0000
3.2207 5.5814 0.0000
-0.0124 0.0000 13.2296
Mg Ge Cl
5 1 12
direct
0.0000 0.0000 0.0000 Mg
0.1667 0.8333 0.5000 Mg
0.3333 0.6667 0.0000 Mg
0.6667 0.3333 0.0000 Mg
0.8333 0.1667 0.5000 Mg
0.5000 0.5000 0.5000 Ge
0.9998 0.3331 0.8975 Cl
0.0002 0.6669 0.1025 Cl
0.1472 0.4998 0.3928 Cl
0.1476 0.1476 0.6072 Cl
0.3331 0.9998 0.8975 Cl
0.3335 0.3335 0.1025 Cl
0.4998 0.1472 0.3928 Cl
0.5002 0.8528 0.6072 Cl
0.6669 0.0002 0.1025 Cl
0.6665 0.6665 0.8975 Cl
0.8524 0.8524 0.3928 Cl
0.8528 0.5002 0.6072 Cl
```

The calculation puts the energy relative to the elements, uncorrected at -30.09 eV per formula unit.

=====

Entry 8:
Compound: TiCo2PW
Source: Alexandria via LeMat-Bulk
Functional: PBE
Structure: relaxed

Structure (POSCAR):
```
TiCo2PW
1.0
4.1430 0.0000 0.0000
0.0000 4.1430 0.0000
0.0000 0.0000 4.4440
Ti Co P W
1 2 1 1
direct
0.0000 0.0000 0.0000 Ti
0.0000 0.5000 0.0000 Co
0.5000 0.0000 0.0000 Co
0.0000 0.0000 0.5000 P
0.5000 0.5000 0.5000 W
```

=====

Entry 9:
Compound: K2SrSb
Source: Alexandria via LeMat-Bulk
Functional: PBE
Structure: relaxed

Structure (POSCAR):
```
K2SrSb
1.0
3.4126 -3.8733 0.0000
3.4126 3.8733 0.0000
0.0000 0.0000 6.4722
K Sr Sb
2 1 1
direct
0.2091 0.7909 0.0000 K
0.7909 0.2091 0.0000 K
0.5000 0.5000 0.5000 Sr
0.0000 0.0000 0.5000 Sb
```

The calculation puts the energy relative to the elements, uncorrected at -1.12 eV per formula unit.

=====

Entry 10:
Compound: Pu3CoAg3Se8
Source: Alexandria via LeMat-Bulk
Functional: PBE
Structure: relaxed

Structure (POSCAR):
```
Pu3CoAg3Se8
1.0
4.0829 2.3573 6.4528
-4.0829 2.3573 6.4528
0.0000 -4.7145 6.4528
Pu Co Ag Se
3 1 3 8
direct
0.0000 0.5000 0.5000 Pu
0.5000 0.0000 0.5000 Pu
0.5000 0.5000 0.0000 Pu
0.0000 0.0000 0.0000 Co
0.0000 0.0000 0.5000 Ag
0.0000 0.5000 0.0000 Ag
0.5000 0.0000 0.0000 Ag
0.2161 0.7822 0.7822 Se
0.2178 0.2178 0.7839 Se
0.2178 0.7839 0.2178 Se
0.2516 0.2516 0.2516 Se
0.7484 0.7484 0.7484 Se
0.7822 0.2161 0.7822 Se
0.7822 0.7822 0.2161 Se
0.7839 0.2178 0.2178 Se
```

The calculation puts the energy relative to the elements, uncorrected at -10.85 eV per formula unit.

=====

Entry 11:
Compound: PuThBi2
Source: Alexandria via LeMat-Bulk
Functional: PBE
Structure: relaxed

Structure (POSCAR):
```
PuThBi2
1.0
8.8427 0.0000 0.0000
0.0000 7.6250 0.0000
0.0000 0.0000 8.0381
Pu Th Bi
4 4 8
direct
0.1239 0.0817 0.2500 Pu
0.1239 0.4183 0.7500 Pu
0.8761 0.5817 0.2500 Pu
0.8761 0.9183 0.7500 Pu
0.3719 0.5867 0.2500 Th
0.3719 0.9133 0.7500 Th
0.6281 0.0867 0.2500 Th
0.6281 0.4133 0.7500 Th
0.1216 0.7500 0.0000 Bi
0.1216 0.7500 0.5000 Bi
0.3733 0.2500 0.0000 Bi
0.3733 0.2500 0.5000 Bi
0.6267 0.7500 0.0000 Bi
0.6267 0.7500 0.5000 Bi
0.8784 0.2500 0.0000 Bi
0.8784 0.2500 0.5000 Bi
```

The value obtained for the polymorph energy (0 for the lowest one) is 96 meV per atom.

=====

Entry 12:
Compound: TbPmPrDy
Source: Alexandria via LeMat-Bulk
Functional: PBE
Structure: relaxed

Structure (POSCAR):
```
TbPmPrDy
1.0
0.0000 4.0663 4.0663
4.0663 0.0000 4.0663
4.0663 4.0663 0.0000
Tb Pm Pr Dy
1 1 1 1
direct
0.0000 0.0000 0.0000 Tb
0.7500 0.7500 0.7500 Pm
0.2500 0.2500 0.2500 Pr
0.5000 0.5000 0.5000 Dy
```

The value obtained for the polymorph energy (0 for the lowest one) is 103 meV per atom.

=====

Across the entries above, uncorrected energy takes the values -5.2419; -6.1443; -7.1326; -8.8218; -2.1906; -7.5025; -3.6021; -6.9363; -2.2787; -6.4922; -7.7848; -4.5696 eV/atom, respectively.